Entry 1:
VASP calculation (PBE) on crystalline Ac2GeO4F2 at its relaxed geometry.

```
Ac2GeO4F2
1.0
-2.8907 2.8907 3.7109
2.8907 -2.8907 3.7109
2.8907 2.8907 -3.7109
Ac Ge O F
2 1 4 2
Direct
0.2500 0.7500 0.5000
0.7500 0.2500 0.5000
0.0000 0.0000 0.0000
0.2268 0.2268 0.4536
0.2268 0.7732 0.0000
0.7732 0.2268 0.0000
0.7732 0.7732 0.5464
0.2663 0.2663 0.0000
0.7337 0.7337 0.0000
```

## Properties
Volume ... 13.8 Å³/atom
SG ... I4/mmm, No. 139
Crystal system ... tetragonal
Formation energy from raw total energies ... -2.9289 eV per atom



Entry 2:
VASP calculation (PBE) on crystalline AcGePdF at its relaxed geometry.

```
AcGePdF
1.0
4.3600 0.0000 0.0000
0.0000 4.3600 0.0000
0.0000 0.0000 8.5298
Ac Ge Pd F
2 2 2 2
Direct
0.2500 0.2500 0.1876
0.7500 0.7500 0.8124
0.2500 0.2500 0.6543
0.7500 0.7500 0.3457
0.2500 0.7500 0.5000
0.7500 0.2500 0.5000
0.2500 0.7500 0.0000
0.7500 0.2500 0.0000
```

## Properties
Volume ... 20.3 Å³/atom
SG ... P4/nmm, No. 129
Crystal system ... tetragonal
Formation energy from raw total energies ... -1.9004 eV per atom



Entry 3:
VASP calculation (PBE) on crystalline AcGeRhF at its relaxed geometry.

```
AcGeRhF
1.0
4.2397 0.0000 0.0000
0.0000 4.2397 0.0000
0.0000 0.0000 8.7521
Ac Ge Rh F
2 2 2 2
Direct
0.2500 0.2500 0.1886
0.7500 0.7500 0.8114
0.2500 0.2500 0.6515
0.7500 0.7500 0.3485
0.2500 0.7500 0.5000
0.7500 0.2500 0.5000
0.2500 0.7500 0.0000
0.7500 0.2500 0.0000
```

## Properties
Volume ... 19.7 Å³/atom
SG ... P4/nmm, No. 129
Crystal system ... tetragonal
Formation energy from raw total energies ... -1.9510 eV per atom



Entry 4:
VASP calculation (PBE) on crystalline AcH3F9 at its relaxed geometry.

```
AcH3F9
1.0
4.6262 -5.6165 0.0000
4.6262 5.6165 0.0000
0.0000 0.0000 6.9078
Ac H F
2 6 18
Direct
0.1488 0.8512 0.7500
0.8512 0.1488 0.2500
0.1495 0.3666 0.7162
0.2150 0.7850 0.2500
0.3666 0.1495 0.2838
0.6334 0.8505 0.7838
0.7850 0.2150 0.7500
0.8505 0.6334 0.2162
0.1289 0.5020 0.7378
0.1359 0.1359 0.0000
0.1738 0.1932 0.6869
0.1932 0.1738 0.3131
0.2015 0.7725 0.0847
0.2275 0.7985 0.4153
0.4457 0.5357 0.1473
0.4643 0.5543 0.3527
0.4980 0.8711 0.7622
0.5020 0.1289 0.2622
0.5357 0.4457 0.8527
0.5543 0.4643 0.6473
0.7725 0.2015 0.9153
0.7985 0.2275 0.5847
0.8068 0.8262 0.8131
0.8262 0.8068 0.1869
0.8641 0.8641 0.5000
0.8711 0.4980 0.2378
```

## Properties
Total energy ... -4.346 eV per atom
Volume ... 13.8 Å³/atom
SG ... C222_1, No. 20
Crystal system ... orthorhombic